## Sr2Li5Ag4 (PBE-GGA)

Data for crystalline Sr2Li5Ag4 at its relaxed geometry.

Cell and atoms, written as extended XYZ:
```
11
Lattice="0.000 4.992 8.337 3.043 0.000 8.337 3.043 4.992 0.000" Properties=species:S:1:pos:R:3 pbc="T T T"
Sr 3.043 4.992 2.369
Sr 3.043 4.992 14.305
Li 1.522 2.496 0.000
Li 1.522 2.496 4.169
Li 1.522 2.496 8.337
Li 3.043 4.992 8.337
Li 4.565 7.489 12.506
Ag 3.043 3.497 6.135
Ag 3.043 3.497 10.539
Ag 3.043 6.488 6.135
Ag 3.043 6.488 10.539
```

Output
Crystal system: orthorhombic
Energy above the most stable polymorph in this dataset in meV per atom: 0
Calculated formation energy in eV/atom: -0.17